[1]
Here is a geometry-optimized FePtC structure from Alexandria via LeMat-Bulk. Energies are from PBE.

The structure in POSCAR format:
```
FePtC
1.0
-0.139 2.147 1.598
-2.434 0.631 -1.060
-1.907 -3.509 2.288
C Fe Pt
1 1 1
direct
0.965 0.000 0.559
0.537 0.500 0.700
0.268 0.000 0.167
```

Computed properties:
Symmetry: Pm
Polymorph energy (0 for the lowest one) (eV per atom): 0.073

=====

[2]
Here is a geometry-optimized Fe3PtC structure from Alexandria via LeMat-Bulk. Energies are from PBE.

The structure in POSCAR format:
```
Fe3PtC
1.0
-2.941 1.542 1.794
-2.304 -2.514 -1.616
0.535 -2.355 2.901
C Fe Pt
1 3 1
direct
0.000 0.000 0.000
0.000 0.500 0.000
0.000 0.000 0.500
0.500 0.000 0.000
0.500 0.500 0.500
```

Computed properties:
Symmetry: Pm-3m
Polymorph energy (0 for the lowest one) (eV per atom): 0.000

=====

[3]
Here is a geometry-optimized FePtC structure from Alexandria via LeMat-Bulk. Energies are from PBE.

The structure in POSCAR format:
```
FePtC
1.0
3.999 0.000 0.018
0.000 2.699 0.000
-1.093 0.000 6.525
C Fe Pt
2 2 2
direct
0.811 0.500 0.953
0.565 0.500 0.086
0.198 0.000 0.953
0.661 0.000 0.734
0.125 0.500 0.573
0.552 0.000 0.326
```

Computed properties:
Symmetry: Pm
Polymorph energy (0 for the lowest one) (eV per atom): 0.000

=====

Result set for E: -7.530 -7.948 -7.603 eV/atom, one per record in the order listed.
Result set for total moment: 0.436 0.000 0.729 μB/atom, one per record in the order listed.
Result set for formation energy: 0.38 0.18 0.31 eV per atom, one per record in the order listed.